SmPaAsO, relaxed, DFT PBE-GGA; symmetry = P4/nmm; energy relative to the lowest polymorph listed for this composition = 0 meV per atom
1.0
4.220 0.000 0.000
0.000 4.220 0.000
0.000 0.000 9.376
Sm Pa As O
2 2 2 2
Cartesian
1.055 3.165 0.000 Sm
3.165 1.055 0.000 Sm
1.055 1.055 3.474 Pa
3.165 3.165 5.902 Pa
1.055 1.055 7.229 As
3.165 3.165 2.147 As
1.055 3.165 4.688 O
3.165 1.055 4.688 O